This record from Alexandria describes crystalline SrLi2MnF8 at its relaxed geometry. The functional is GGA+U.

## Properties
Energy = -4.99 eV per atom
Magnetization = 5.05 μB per formula unit

Cell and atoms, written as CIF:
```
data_SrLi2MnF8
_symmetry_space_group_name_H-M 'I -4 m 2'
_symmetry_Int_Tables_number 119
_symmetry_space_group_name_Hall 'I -4 -2'
_cell_length_a 6.811
_cell_length_b 6.811
_cell_length_c 7.188
_cell_angle_alpha 90.00
_cell_angle_beta 90.00
_cell_angle_gamma 90.00
loop_
_atom_site_label
_atom_site_type_symbol
_atom_site_fract_x
_atom_site_fract_y
_atom_site_fract_z
_atom_site_occupancy
Sr1 Sr 0.000 0.000 0.000 1
Li1 Li 0.000 0.000 0.500 1
Li2 Li 0.000 0.500 0.750 1
Mn1 Mn 0.000 0.500 0.250 1
F1 F 0.000 0.220 0.301 1
F2 F 0.000 0.338 0.952 1
```